No. 1
First-principles (PBE) data for a relaxed Cr2ReC crystal, as listed in the Alexandria database.

The calculation puts the spin magnetization at 0.000 μB/f.u. As for the total energy: -10.272 eV per atom.

It has space group R-3m (No. 166, hexagonal axes), with a = 2.8020 Å, b = 2.8020 Å, c = 19.5752 Å, α = 90.00°, β = 90.00° and γ = 120.00°. The asymmetric unit holds Cr at (0.0000, 0.0000, 0.2225), Re at (0.0000, 0.0000, 0.0000) and C at (0.0000, 0.0000, 0.5000).

***

No. 2
First-principles (PBE) data for a relaxed Cr2ReC crystal, as listed in the Alexandria database.

The calculation puts the spin magnetization at 0.000 μB/f.u. As for the total energy: -10.230 eV per atom.

It has space group Cmcm (No. 63), with a = 2.8081 Å, b = 8.7059 Å, c = 6.9599 Å, α = 90.00°, β = 90.00° and γ = 90.00°. The asymmetric unit holds Cr at (0.0000, 0.1424, 0.0692), Re at (0.0000, 0.4233, 0.2500) and C at (0.0000, 0.2629, 0.7500).

***

No. 3
First-principles (PBE) data for a relaxed Cr2ReC crystal, as listed in the Alexandria database.

The calculation puts the spin magnetization at 0.000 μB/f.u. As for the total energy: -9.929 eV per atom.

It has space group I-42d (No. 122), with a = 6.5784 Å, b = 6.5784 Å, c = 4.2921 Å, α = 90.00°, β = 90.00° and γ = 90.00°. The asymmetric unit holds Cr at (0.1414, 0.7500, 0.1250), Re at (0.0000, 0.0000, 0.5000) and C at (0.0000, 0.0000, 0.0000).

***

No. 4
First-principles (PBE) data for a relaxed CrReC3 crystal, as listed in the Alexandria database.

The calculation puts the spin magnetization at 0.167 μB/f.u. Its distance to the lowest polymorph of the same formula is 0 meV/atom.

It has space group Pm-3m (No. 221), with a = 3.9751 Å, b = 3.9751 Å, c = 3.9751 Å, α = 90.00°, β = 90.00° and γ = 90.00°. The asymmetric unit holds Cr at (0.0000, 0.0000, 0.0000), Re at (0.5000, 0.5000, 0.5000) and C at (0.0000, 0.5000, 0.5000).

***

Repeat the fourth record exactly.
First-principles (PBE) data for a relaxed CrReC3 crystal, as listed in the Alexandria database.

The calculation puts the spin magnetization at 0.167 μB/f.u. Its distance to the lowest polymorph of the same formula is 0 meV/atom.

It has space group Pm-3m (No. 221), with a = 3.9751 Å, b = 3.9751 Å, c = 3.9751 Å, α = 90.00°, β = 90.00° and γ = 90.00°. The asymmetric unit holds Cr at (0.0000, 0.0000, 0.0000), Re at (0.5000, 0.5000, 0.5000) and C at (0.0000, 0.5000, 0.5000).

***

spin magnetization of number 3 (Cr2ReC)?
0.000 μB/f.u.